Li2CaRe: optimized geometry, PBE-GGA.

Unit cell a=2.7586 b=5.1719 c=5.3763 alpha=90.00 beta=90.00 gamma=90.00
Atoms (fractional coordinates):
1 Li 0.5000 0.5000 0.0000
2 Li 0.0000 0.0000 0.0000
3 Ca 0.0000 0.5000 0.5000
4 Re 0.5000 0.0000 0.5000

Values from the calculation:
Total moment = 0.00 μB/f.u.
Distance to the lowest polymorph of the same formula = 0.785 eV/f.u.
ρ = 5.20 g/cm³
Energy of formation = 669 meV/atom

***

Ca2Co2P: optimized geometry, PBE-GGA.

Unit cell a=8.9316 b=8.9316 c=8.9316 alpha=158.28 beta=158.28 gamma=30.90
Site moments in Bohr magnetons follow the coordinates.
Atoms (fractional coordinates):
1 Co 0.7500 0.2500 0.5000  1.61
2 Co 0.2500 0.7500 0.5000  1.61
3 P 0.0000 0.0000 0.0000  -0.02
4 Ca 0.6023 0.6023 0.0000  -0.04
5 Ca 0.3977 0.3977 0.0000  -0.04

Values from the calculation:
Total moment = 2.82 μB/f.u.
Distance to the lowest polymorph of the same formula = 0.000 eV/f.u.
ρ = 3.90 g/cm³
Energy of formation = -164 meV/atom

***

MgCrAuBr2: optimized geometry, PBE-GGA.

Unit cell a=5.0223 b=5.4405 c=5.0223 alpha=90.00 beta=90.00 gamma=90.00
Site moments in Bohr magnetons follow the coordinates.
Atoms (fractional coordinates):
1 Mg 0.5000 0.5000 0.5000  0.13
2 Au 0.0000 0.5000 0.0000  0.07
3 Cr 0.0000 0.0000 0.0000  3.63
4 Br 0.0000 0.0000 0.5000  0.03
5 Br 0.5000 0.0000 0.0000  0.05

Values from the calculation:
Total moment = 4.74 μB/f.u.
Total DFT energy (no corrections) = -17.97 eV for the cell shown
ρ = 5.24 g/cm³

***

- Which of these has the highest ρ?
  MgCrAuBr2

***

- Number 3 is which compound?
  MgCrAuBr2

***

- Number 3 is which compound?
  MgCrAuBr2

***

- total moment of number 2 (Ca2Co2P)?
  2.82 μB/f.u.